[1]
Below is a relaxed structure of Sc2Ga2Ag, with properties calculated at the PBE-GGA level.

Cell lengths 5.6275, 5.6275, 9.6669 Å; angles 113.83, 113.83, 45.05 degrees
Positions (direct):
Sc1 0.0078 0.0078 0.3286
Sc2 0.1721 0.1721 0.0953
Sc3 0.8279 0.8279 0.9047
Sc4 0.9922 0.9922 0.6714
Ga1 0.3686 0.3686 0.4147
Ga2 0.4624 0.4624 0.1153
Ga3 0.5376 0.5376 0.8847
Ga4 0.6314 0.6314 0.5853
Ag1 0.2798 0.2798 0.6483
Ag2 0.7202 0.7202 0.3517

E_form   -0.48 eV per atom
Space group   No. 12
Total DFT energy (no corrections)   -4.7955 eV per atom

---

[2]
Below is a relaxed structure of CsP, with properties calculated at the PBE-GGA level.

Cell lengths 6.9541, 6.9541, 4.1115 Å; angles 90.00, 90.00, 133.92 degrees
Positions (direct):
Cs1 0.1446 0.8554 0.7500
Cs2 0.8554 0.1446 0.2500
P1 0.4587 0.5413 0.7500
P2 0.5413 0.4587 0.2500

E_form   -0.32 eV per atom
Space group   No. 63
Total DFT energy (no corrections)   -3.4500 eV per atom

---

[3]
Below is a relaxed structure of YTm2Rh3, with properties calculated at the PBE-GGA level.

Cell lengths 4.8080, 4.8080, 11.7506 Å; angles 90.00, 90.00, 120.00 degrees
Positions (direct):
Y1 0.3333 0.6667 0.1676
Y2 0.6667 0.3333 0.8324
Tm1 0.0000 0.0000 0.0000
Tm2 0.0000 0.0000 0.5000
Tm3 0.3333 0.6667 0.6651
Tm4 0.6667 0.3333 0.3349
Rh1 0.0000 0.0000 0.2528
Rh2 0.0000 0.0000 0.7472
Rh3 0.3333 0.6667 0.4188
Rh4 0.3333 0.6667 0.9163
Rh5 0.6667 0.3333 0.0837
Rh6 0.6667 0.3333 0.5812

E_form   -0.93 eV per atom
Space group   No. 164
Total DFT energy (no corrections)   -7.1691 eV per atom

---

[4]
Below is a relaxed structure of Er2VGa6, with properties calculated at the PBE-GGA level.

Cell lengths 5.8489, 5.8489, 5.6235 Å; angles 90.00, 90.00, 120.00 degrees
Positions (direct):
Er1 0.3333 0.6667 0.1682
Er2 0.6667 0.3333 0.8318
V1 0.0000 0.0000 0.0000
Ga1 0.1772 0.3544 0.6827
Ga2 0.1772 0.8228 0.6827
Ga3 0.3544 0.1772 0.3173
Ga4 0.6456 0.8228 0.6827
Ga5 0.8228 0.1772 0.3173
Ga6 0.8228 0.6456 0.3173

E_form   -0.43 eV per atom
Space group   No. 164
Total DFT energy (no corrections)   -4.4726 eV per atom

---

[5]
Below is a relaxed structure of NaNdHg2, with properties calculated at the PBE-GGA level.

Cell lengths 9.7962, 9.7962, 9.7962 Å; angles 22.14, 22.14, 22.14 degrees
Positions (direct):
Na1 0.0000 0.0000 0.0000
Nd1 0.1671 0.1671 0.1671
Hg1 0.5841 0.5841 0.5841
Hg2 0.7498 0.7498 0.7498

E_form   -0.21 eV per atom
Space group   No. 160
Total DFT energy (no corrections)   -1.8876 eV per atom

---

[6]
Below is a relaxed structure of SmGa6Pd2, with properties calculated at the PBE-GGA level.

Cell lengths 7.2471, 7.2471, 7.2471 Å; angles 147.38, 123.58, 66.71 degrees
Positions (direct):
Sm1 0.0000 0.0000 0.0000
Ga1 0.0019 0.3064 0.6955
Ga2 0.3240 0.5000 0.8240
Ga3 0.3891 0.6936 0.6955
Ga4 0.6109 0.3064 0.3045
Ga5 0.6760 0.5000 0.1760
Ga6 0.9981 0.6936 0.3045
Pd1 0.3810 0.8810 0.5000
Pd2 0.6190 0.1190 0.5000

E_form   -0.38 eV per atom
Space group   No. 71
Total DFT energy (no corrections)   -4.0802 eV per atom

---

[7]
Below is a relaxed structure of CrBr5, with properties calculated at the PBE-GGA level.

Cell lengths 6.9599, 6.9599, 8.3106 Å; angles 90.00, 90.00, 149.33 degrees
Positions (direct):
Cr1 0.0000 0.0000 0.0000
Br1 0.1673 0.8327 0.5000
Br2 0.3739 0.6261 0.0000
Br3 0.5000 0.5000 0.5000
Br4 0.6261 0.3739 0.0000
Br5 0.8327 0.1673 0.5000

Space group   No. 65
Total DFT energy (no corrections)   -3.1792 eV per atom

---

[8]
Below is a relaxed structure of CsBiPPb2, with properties calculated at the PBE-GGA level.

Cell lengths 6.1747, 6.1747, 5.4794 Å; angles 90.00, 90.00, 90.00 degrees
Positions (direct):
Cs1 0.0000 0.0000 0.0000
Bi1 0.5000 0.5000 0.5000
P1 0.5000 0.5000 0.0000
Pb1 0.0000 0.5000 0.5000
Pb2 0.5000 0.0000 0.5000

E_form   0.44 eV per atom
Space group   No. 123
Total DFT energy (no corrections)   -3.0725 eV per atom

---

[9]
Below is a relaxed structure of La2Mg15In2, with properties calculated at the PBE-GGA level.

Cell lengths 7.8283, 7.8283, 7.8283 Å; angles 82.68, 82.68, 82.68 degrees
Positions (direct):
La1 0.1734 0.1734 0.1734
La2 0.8266 0.8266 0.8266
Mg1 0.0000 0.5000 0.5000
Mg2 0.1500 0.1500 0.6627
Mg3 0.1500 0.6627 0.1500
Mg4 0.1953 0.5000 0.8047
Mg5 0.1953 0.8047 0.5000
Mg6 0.3373 0.8500 0.8500
Mg7 0.5000 0.0000 0.5000
Mg8 0.5000 0.1953 0.8047
Mg9 0.5000 0.5000 0.0000
Mg10 0.5000 0.8047 0.1953
Mg11 0.6627 0.1500 0.1500
Mg12 0.8047 0.1953 0.5000
Mg13 0.8047 0.5000 0.1953
Mg14 0.8500 0.3373 0.8500
Mg15 0.8500 0.8500 0.3373
In1 0.4004 0.4004 0.4004
In2 0.5996 0.5996 0.5996

E_form   -0.12 eV per atom
Space group   No. 166
Total DFT energy (no corrections)   -2.1844 eV per atom

---

[10]
Below is a relaxed structure of La6Co3I, with properties calculated at the PBE-GGA level.

Cell lengths 12.0546, 4.0748, 12.5268 Å; angles 90.00, 104.52, 90.00 degrees
Positions (direct):
La1 0.0051 0.2500 0.1230
La2 0.1108 0.7500 0.4612
La3 0.1785 0.2500 0.7518
La4 0.2804 0.2500 0.3048
La5 0.2980 0.7500 0.0381
La6 0.4269 0.2500 0.5934
La7 0.5731 0.7500 0.4066
La8 0.7020 0.2500 0.9619
La9 0.7196 0.7500 0.6952
La10 0.8215 0.7500 0.2482
La11 0.8892 0.2500 0.5388
La12 0.9949 0.7500 0.8770
Co1 0.0184 0.7500 0.6619
Co2 0.1562 0.2500 0.9738
Co3 0.3495 0.7500 0.4394
Co4 0.6505 0.2500 0.5606
Co5 0.8438 0.7500 0.0262
Co6 0.9816 0.2500 0.3381
I1 0.4531 0.7500 0.8339
I2 0.5469 0.2500 0.1661

Space group   No. 11
Total DFT energy (no corrections)   -5.5433 eV per atom

---

[11]
Below is a relaxed structure of PrSm6Ho2, with properties calculated at the PBE-GGA level.

Cell lengths 7.5415, 7.5415, 6.1730 Å; angles 90.02, 90.02, 60.01 degrees
Positions (direct):
Pr1 0.0000 0.0000 0.0000
Sm1 0.1875 0.6234 0.7079
Sm2 0.1876 0.1876 0.7086
Sm3 0.3766 0.8125 0.2921
Sm4 0.6234 0.1875 0.7079
Sm5 0.8124 0.8124 0.2914
Sm6 0.8125 0.3766 0.2921
Ho1 0.3336 0.3336 0.2160
Ho2 0.6664 0.6664 0.7840

E_form   0.20 eV per atom
Space group   No. 12
Total DFT energy (no corrections)   -4.4914 eV per atom

---

[12]
Below is a relaxed structure of ReTc, with properties calculated at the PBE-GGA level.

Cell lengths 2.7507, 4.3055, 5.1703 Å; angles 90.00, 101.76, 90.00 degrees
Positions (direct):
Re1 0.0213 0.2500 0.1361
Re2 0.9787 0.7500 0.8639
Tc1 0.3619 0.2500 0.6477
Tc2 0.6381 0.7500 0.3523

E_form   0.12 eV per atom
Space group   No. 11
Total DFT energy (no corrections)   -11.2862 eV per atom

---

> The lowest total DFT energy (no corrections) belongs to which entry?

ReTc

---

> What is the formula in the first record?

Sc2Ga2Ag

---

> total DFT energy (no corrections) of number 5 (NaNdHg2)?

-1.8876 eV per atom